A plane-wave DFT calculation with GGA-PBE was carried out for a relaxed structure of Ti6NiPd.

```
8
Lattice="2.8055 -5.0921 0.0000 2.8055 5.0921 0.0000 -2.6298 0.0000 4.6979" Properties=species:S:1:pos:R:3 pbc="T T T"
Ti 0.7693 2.8629 3.5625
Ti 2.2119 2.8629 1.1354
Ti 2.0295 0.0000 1.0956
Ti 0.9517 0.0000 3.6023
Ti 0.7693 -2.8629 3.5625
Ti 2.2119 -2.8629 1.1354
Ni 0.0000 0.0000 0.0000
Pd -1.3149 0.0000 2.3489
```

## Properties
* Fermi-level density of states: 12.20 states/eV/cell
* V: 134.2 Å³ per cell
* total DFT energy (no corrections): -0.2634 Ha/atom


A plane-wave DFT calculation with GGA-PBE was carried out for a relaxed structure of LiSb2IrI.

```
5
Lattice="5.1118 0.0000 0.0000 0.0000 5.1118 0.0000 0.0000 0.0000 6.1100" Properties=species:S:1:pos:R:3 pbc="T T T"
Li 0.0000 0.0000 0.0000
Sb 0.0000 2.5559 3.0550
Sb 2.5559 0.0000 3.0550
Ir 2.5559 2.5559 3.0550
I 2.5559 2.5559 0.0000
```

## Properties
* Fermi-level density of states: 3.94 states/eV/cell
* energy above the lowest structure with this stoichiometry: 0.0 meV per atom
* V: 159.7 Å³ per cell
* raw formation energy: 0.23 eV per atom
* total DFT energy (no corrections): -0.1428 Ha/atom


A plane-wave DFT calculation with GGA-PBE was carried out for a relaxed structure of PrCN3.

```
10
Lattice="3.7030 0.0000 0.0000 0.0000 5.8675 0.0000 -1.8328 0.0000 6.2274" Properties=species:S:1:pos:R:3 pbc="T T T"
Pr 0.0090 1.4669 1.8814
Pr 1.8612 4.4006 4.3460
C 0.0150 1.4669 5.2032
C 1.8552 4.4006 1.0242
N 0.0063 0.4300 4.3357
N 0.0063 2.5038 4.3357
N 0.0078 4.4006 5.9217
N 1.8624 1.4669 0.3058
N 1.8639 3.3637 1.8917
N 1.8639 5.4375 1.8917
```

## Properties
* Fermi-level density of states: 1.04 states/eV/cell
* V: 135.3 Å³ per cell
* raw formation energy: -0.13 eV per atom
* total DFT energy (no corrections): -0.2913 Ha/atom


A plane-wave DFT calculation with GGA-PBE was carried out for a relaxed structure of BaZnSnS4.

```
56
Lattice="0.0000 11.1612 6.4291 10.8543 0.0000 6.4291 10.8543 11.1612 0.0000" Properties=species:S:1:pos:R:3 pbc="T T T"
Ba 0.0000 0.0000 0.0000
Ba 5.4428 11.1978 9.6318
Ba 10.8700 5.5439 6.4172
Ba 5.4272 5.5806 3.2146
Ba 16.2658 11.1245 9.6318
Ba 10.8543 11.1612 6.3992
Ba 16.2815 16.7417 9.6138
Ba 10.8387 16.7784 6.4172
Zn 9.2712 8.3651 2.7324
Zn 13.8870 8.3636 6.3878
Zn 17.8646 13.9457 5.9470
Zn 12.4375 13.9573 2.7324
Zn 3.8440 8.3767 5.9470
Zn 8.4598 8.3782 9.6024
Zn 13.2488 13.9442 9.6024
Zn 7.8216 13.9588 6.3878
Sn 13.2853 8.3852 3.2069
Sn 17.8140 8.3740 6.9176
Sn 8.4233 13.9371 3.2069
Sn 13.8505 13.9658 6.4215
Sn 7.8582 8.3565 6.4215
Sn 12.3868 8.3678 10.1322
Sn 3.8947 13.9484 6.9176
Sn 9.3218 13.9545 10.1322
S 8.1354 6.5597 1.5982
S 13.5729 6.5702 4.8034
S 8.1461 0.9791 4.8128
S 2.7149 0.9847 1.6219
S 2.7189 4.6014 1.5982
S 13.5867 10.1759 4.8325
S 8.1394 10.1765 1.6219
S 8.1421 4.5959 4.8365
S 15.6004 8.3538 7.9454
S 21.1329 13.9314 8.1136
S 15.7058 13.9715 4.8991
S 9.8283 8.3487 4.9788
S 11.9316 8.3529 7.7745
S 17.3075 13.9292 8.1934
S 11.8804 13.9737 4.9788
S 6.0029 8.3508 4.8991
S 13.5629 12.1508 8.0179
S 8.1596 6.5659 8.0470
S 2.7123 6.5653 4.8365
S 8.1219 12.1465 4.8325
S 8.1357 15.7521 4.8034
S 8.1458 10.1715 8.0179
S 2.7082 10.1820 4.8128
S 13.5491 15.7564 8.0470
S 21.0276 19.5492 11.1599
S 15.2042 13.9335 10.9890
S 9.7770 13.9694 7.7745
S 15.2554 19.5543 8.1934
S 17.3587 19.5500 10.9890
S 11.5354 13.9343 11.1599
S 6.1082 13.9686 7.9454
S 11.4300 19.5521 8.1136
```

## Properties
* Fermi-level density of states: 0.00 states/eV/cell
* V: 1557.7 Å³ per cell
* raw formation energy: -1.05 eV per atom
* total DFT energy (no corrections): -0.1629 Ha/atom


A plane-wave DFT calculation with GGA-PBE was carried out for a relaxed structure of Tb3HoGe4.

```
8
Lattice="-2.0115 3.1868 7.8919 2.0115 -3.1868 7.8919 2.0115 3.1868 -7.8919" Properties=species:S:1:pos:R:3 pbc="T T T"
Tb 0.0000 0.0000 0.0000
Tb 2.0115 0.0000 4.8037
Tb 0.0000 3.1868 3.0882
Ho 0.0000 0.0000 7.8919
Ge 2.0115 1.2366 -2.0680
Ge 2.0115 1.2366 2.0680
Ge 0.0000 1.9502 5.8240
Ge 0.0000 1.9502 9.9599
```

## Properties
* Fermi-level density of states: 6.46 states/eV/cell
* V: 202.4 Å³ per cell
* total DFT energy (no corrections): -0.1945 Ha/atom


A plane-wave DFT calculation with GGA-PBE was carried out for a relaxed structure of CsTe3Au.

```
5
Lattice="6.3814 0.0000 0.0000 0.0000 6.3814 0.0000 0.0000 0.0000 6.3814" Properties=species:S:1:pos:R:3 pbc="T T T"
Cs 0.0000 0.0000 0.0000
Te 0.0000 0.0000 3.1907
Te 0.0000 3.1907 0.0000
Te 3.1907 0.0000 0.0000
Au 3.1907 3.1907 3.1907
```

## Properties
* Fermi-level density of states: 8.31 states/eV/cell
* V: 259.9 Å³ per cell
* raw formation energy: 1.33 eV per atom
* total DFT energy (no corrections): -0.0507 Ha/atom


A plane-wave DFT calculation with GGA-PBE was carried out for a relaxed structure of PrErTm4.

```
6
Lattice="3.5342 0.0000 0.0000 0.0000 4.9761 0.0000 -0.0479 0.0000 10.5820" Properties=species:S:1:pos:R:3 pbc="T T T"
Pr 0.0000 0.0000 0.0000
Er 1.7431 2.4881 5.2910
Tm -0.0124 0.0000 3.5531
Tm 1.7254 2.4881 8.7650
Tm 1.7608 2.4881 1.8171
Tm 3.4986 0.0000 7.0290
```

## Properties
* Fermi-level density of states: 8.80 states/eV/cell
* energy above the lowest structure with this stoichiometry: 0.0 meV per atom
* V: 186.1 Å³ per cell
* total DFT energy (no corrections): -0.1658 Ha/atom


A plane-wave DFT calculation with GGA-PBE was carried out for a relaxed structure of Si2AgPt.

```
4
Lattice="2.9656 0.0000 0.0000 0.0000 2.9656 0.0000 0.0000 0.0000 7.3623" Properties=species:S:1:pos:R:3 pbc="T T T"
Si 0.0000 0.0000 1.6204
Si 0.0000 0.0000 5.7419
Ag 1.4828 1.4828 3.6811
Pt 1.4828 1.4828 0.0000
```

## Properties
* Fermi-level density of states: 1.48 states/eV/cell
* energy above the lowest structure with this stoichiometry: 190.0 meV per atom
* V: 64.7 Å³ per cell
* raw formation energy: 0.07 eV per atom
* total DFT energy (no corrections): -0.1789 Ha/atom


A plane-wave DFT calculation with GGA-PBE was carried out for a relaxed structure of EuZnRh2.

```
4
Lattice="4.3067 0.0000 0.0000 0.0000 4.3067 0.0000 0.0000 0.0000 3.7250" Properties=species:S:1:pos:R:3 pbc="T T T"
Eu 0.0000 0.0000 0.0000
Zn 2.1533 2.1533 0.0000
Rh 0.0000 2.1533 1.8625
Rh 2.1533 0.0000 1.8625
```

## Properties
* Fermi-level density of states: 7.79 states/eV/cell
* V: 69.1 Å³ per cell
* total DFT energy (no corrections): -0.2513 Ha/atom


A plane-wave DFT calculation with GGA-PBE was carried out for a relaxed structure of Ca2ZrBr.

```
4
Lattice="3.6349 0.0000 0.0000 0.0000 4.9602 0.0000 0.0000 0.0000 7.2713" Properties=species:S:1:pos:R:3 pbc="T T T"
Ca 0.0000 0.0000 0.0000
Ca 1.8174 2.4801 2.2658
Zr 0.0000 0.0000 3.5296
Br 1.8174 2.4801 6.5690
```

## Properties
* Fermi-level density of states: 6.04 states/eV/cell
* energy above the lowest structure with this stoichiometry: 477.4 meV per atom
* V: 131.1 Å³ per cell
* raw formation energy: 0.00 eV per atom
* total DFT energy (no corrections): -0.1306 Ha/atom